[1]
Density functional theory data (GGA-PBE) for crystalline Pm3In3Co2 at its relaxed geometry.

a = 16.550 Å, b = 4.576 Å, c = 5.038 Å
α = 90.00°, β = 99.50°, γ = 90.00°
Space group C2/m (No. 12)
Symmetry-distinct sites (fractional):
Pm 0.000 0.000 0.000
Pm 0.169 0.000 0.584
In 0.000 0.500 0.500
In 0.139 0.500 0.068
Co 0.216 0.000 0.102

Values from the calculation:
The value obtained for the magnetic moment is 0.000 μB per formula unit. The value obtained for the formation enthalpy at 0 K is -0.34 eV per atom. The density of states at the Fermi level comes out at 10.2 states/eV per cell. For the final energy, the calculation gives -4.9279 eV per atom.


[2]
Density functional theory data (GGA-PBE) for crystalline MnW at its relaxed geometry.

a = 2.7171 Å, b = 2.7171 Å, c = 8.7048 Å
α = 90.00°, β = 90.00°, γ = 120.00°
Space group P-3m1 (No. 164)
Symmetry-distinct sites (fractional):
Mn 0.3333 0.6667 0.4000
W 0.3333 0.6667 0.8563

Values from the calculation:
The value obtained for the magnetic moment is 0.000 μB per formula unit. The value obtained for the formation enthalpy at 0 K is 0.39 eV per atom. The density of states at the Fermi level comes out at 5.6 states/eV per cell. For the final energy, the calculation gives -10.6729 eV per atom.


[3]
Density functional theory data (GGA-PBE) for crystalline La3Ho4Er4 at its relaxed geometry.

a = 5.120 Å, b = 9.500 Å, c = 15.876 Å
α = 90.00°, β = 90.00°, γ = 90.00°
Space group Immm (No. 71)
Symmetry-distinct sites (fractional):
La 0.000 0.000 0.000
La 0.000 0.500 0.119
Ho 0.000 0.000 0.248
Ho 0.000 0.168 0.500
Er 0.000 0.318 0.320

Values from the calculation:
The value obtained for the magnetic moment is 0.001 μB per formula unit. The value obtained for the formation enthalpy at 0 K is 0.34 eV per atom. The density of states at the Fermi level comes out at 36.9 states/eV per cell. For the final energy, the calculation gives -4.3308 eV per atom. As for the energy above the most stable polymorph in this dataset: 0.177 eV/atom.


[4]
Density functional theory data (GGA-PBE) for crystalline Pr6P2CS3 at its relaxed geometry.

a = 17.958 Å, b = 4.078 Å, c = 8.279 Å
α = 90.00°, β = 103.75°, γ = 90.00°
Space group C2/m (No. 12)
Symmetry-distinct sites (fractional):
Pr 0.000 0.000 0.222
Pr 0.154 0.500 0.079
Pr 0.166 0.500 0.580
P 0.166 0.000 0.333
C 0.000 0.500 0.000
S 0.000 0.500 0.500
S 0.168 0.000 0.835

Values from the calculation:
The value obtained for the raw formation energy is -18.8 eV/f.u. The value obtained for the magnetic moment is 0.000 μB per formula unit. The density of states at the Fermi level comes out at 7.4 states/eV per cell. For the final energy, the calculation gives -6.6602 eV per atom.